(1)
PBE Tb3TmTl3Te8, optimized geometry; theoretical density = 6.90 g/cm³; electronic total energy = -4.4249 eV/atom
1.0
8.791 0.000 0.000
-4.395 7.627 -0.032
0.000 -5.055 8.210
Tb Tm Tl Te
3 1 3 8
Cartesian
4.395 -2.528 4.105
2.198 1.286 4.089
-2.198 1.286 4.089
0.000 -2.528 4.105
0.000 0.000 0.000
-2.198 3.813 -0.016
2.198 3.813 -0.016
0.000 2.550 2.306
4.395 0.021 5.871
4.395 2.569 2.330
0.000 0.003 5.848
6.609 -1.272 2.346
-2.214 3.843 5.831
2.182 -1.272 2.346
2.214 3.843 5.831


(2)
PBE Tb3TmTl4Te8, optimized geometry; theoretical density = 7.34 g/cm³; electronic total energy = -4.3615 eV/atom
1.0
-6.801 -5.717 0.583
0.776 -1.887 -9.449
7.254 -1.183 5.028
Tb Tm Tl Te
3 1 4 8
Cartesian
-3.013 -3.802 -4.433
0.614 -4.393 -1.920
4.015 -1.535 -2.211
0.388 -0.943 -4.725
-3.401 -2.859 0.291
0.226 -3.450 2.805
0.000 0.000 0.000
3.627 -0.591 2.514
6.035 -3.848 -1.685
2.370 -3.251 -4.226
2.238 -2.654 0.089
2.599 -6.737 -1.391
-1.371 -2.050 -2.448
-1.010 -6.133 -3.928
-1.142 -5.536 0.387
-4.807 -4.938 -2.154


(3)
PBE TbU2Tl3Te6, optimized geometry; theoretical density = 7.90 g/cm³; electronic total energy = -5.1202 eV/atom
1.0
-1.711 -5.644 -4.920
7.316 2.088 1.054
-1.168 -4.357 7.404
Tb U Tl Te
1 2 3 6
Cartesian
0.000 0.000 0.000
4.307 -0.489 -0.937
1.297 -3.067 -2.928
5.229 -1.377 3.762
-0.793 -6.536 -0.223
2.218 -3.957 1.769
1.852 -7.411 1.868
3.891 -3.570 -1.260
2.584 -0.502 1.670
4.854 -4.840 3.855
0.545 -4.344 4.799
-0.418 -3.074 -0.316


(4)
PBE TbY3Tl3Te8, optimized geometry; theoretical density = 6.24 g/cm³; electronic total energy = -4.8158 eV/atom
1.0
8.794 0.000 0.000
-4.397 7.629 -0.033
0.000 -5.057 8.197
Tb Y Tl Te
1 3 3 8
Cartesian
0.000 -2.529 4.099
4.397 -2.529 4.099
2.198 1.286 4.082
-2.198 1.286 4.082
0.000 0.000 0.000
-2.198 3.814 -0.016
2.198 3.814 -0.016
0.000 2.551 2.309
4.397 0.021 5.856
4.397 2.533 2.311
0.000 0.039 5.854
6.579 -1.254 2.327
-2.182 3.826 5.838
2.215 -1.254 2.327
2.182 3.826 5.838


(5)
PBE TbY3Tl4Te8, optimized geometry; theoretical density = 6.67 g/cm³; electronic total energy = -4.7306 eV/atom
1.0
8.917 0.000 0.000
0.000 9.654 0.515
-4.459 -4.456 6.306
Tb Y Tl Te
1 3 4 8
Cartesian
0.000 4.827 0.258
4.459 4.827 0.258
2.229 2.599 3.411
-2.229 2.599 3.411
4.459 0.000 0.000
2.229 -2.228 3.153
0.000 0.000 0.000
-2.229 -2.228 3.153
-2.226 2.544 6.520
0.000 4.768 3.373
0.000 0.429 3.453
2.226 2.544 6.520
2.233 2.654 0.301
4.459 4.769 3.368
4.459 0.430 3.449
6.684 2.654 0.301


(6)
PBE TbY2Tl3Te6, optimized geometry; theoretical density = 6.74 g/cm³; electronic total energy = -4.6918 eV/atom
1.0
7.722 -0.001 0.000
-3.860 6.688 0.000
-1.288 -2.230 8.183
Tb Y Tl Te
1 2 3 6
Cartesian
0.000 0.000 0.000
0.000 4.459 0.000
3.862 2.229 0.000
-2.575 4.459 4.091
5.149 -0.002 4.091
1.287 2.228 4.091
3.863 2.223 6.432
2.573 4.454 1.749
-1.289 2.234 1.751
-0.005 4.457 6.432
0.002 0.003 6.434
2.579 0.000 1.751


(7)
PBE TbYTlTe, optimized geometry; theoretical density = 8.01 g/cm³; electronic total energy = -4.9469 eV/atom
1.0
4.393 0.000 0.000
0.000 4.393 0.000
0.000 0.000 6.230
Tb Y Tl Te
1 1 1 1
Cartesian
0.000 0.000 0.000
2.197 2.197 3.115
2.197 2.197 0.000
0.000 0.000 3.115


(8)
PBE Tb3YTl4Te8, optimized geometry; theoretical density = 7.07 g/cm³; electronic total energy = -4.4969 eV/atom
1.0
-5.821 -6.715 0.834
7.309 -6.335 0.004
0.196 6.520 6.094
Tb Y Tl Te
3 1 4 8
Cartesian
0.744 -6.525 0.419
0.842 -3.265 3.466
3.752 0.092 3.049
3.654 -3.167 0.002
-2.910 -3.358 0.417
-2.813 -0.098 3.464
0.000 0.000 0.000
0.098 3.260 3.047
4.026 0.245 6.151
3.928 -3.020 3.099
0.666 -0.154 3.411
1.111 -3.118 6.569
0.573 -3.413 0.364
1.018 -6.377 3.521
-2.244 -3.511 3.833
-2.342 -6.776 0.781


(9)
PBE Tb2Tl3ZnTe6, optimized geometry; theoretical density = 7.30 g/cm³; electronic total energy = -3.7652 eV/atom
1.0
-6.033 4.188 -2.153
3.732 -4.277 -5.133
-4.004 -6.058 4.089
Tb Tl Zn Te
2 3 1 6
Cartesian
0.447 -1.429 -4.130
-2.748 1.340 -3.156
0.005 -5.811 -2.562
-6.310 -0.337 -0.635
-3.153 -3.074 -1.599
0.000 0.000 0.000
-6.506 -3.535 -1.926
-2.608 -1.401 -4.567
0.201 -2.613 -1.272
-3.411 -6.217 -2.870
-3.697 -4.747 1.370
-2.894 0.069 -0.327


(10)
PBE TbTl2Zn2Te4, optimized geometry; theoretical density = 7.16 g/cm³; electronic total energy = -3.3076 eV/atom
1.0
-1.512 3.916 0.997
-2.703 -4.937 5.958
7.832 2.405 2.432
Tb Tl Zn Te
1 2 2 4
Cartesian
0.000 0.000 0.000
0.278 0.866 6.359
3.338 0.518 3.029
-2.151 -1.942 4.367
5.768 3.326 5.020
3.604 2.167 6.293
0.012 -0.783 3.095
-1.379 -2.292 6.914
4.996 3.677 2.473


(11)
PBE TbZr2Tl2Te6, optimized geometry; theoretical density = 6.61 g/cm³; electronic total energy = -4.9713 eV/atom
1.0
-7.156 -1.039 -0.226
4.347 -5.244 2.438
0.209 5.067 7.098
Tb Zr Tl Te
1 2 2 6
Cartesian
0.104 2.534 3.549
0.632 -1.314 5.103
-3.232 0.099 4.208
-5.312 -1.713 0.201
2.503 -4.570 2.011
-1.866 -0.904 6.631
1.456 1.359 6.043
-0.734 -0.312 2.680
-2.517 2.811 5.123
-4.056 -2.574 3.267
-0.083 -4.027 4.187


(12)
PBE Tb3ZrTl4Te8, optimized geometry; theoretical density = 7.30 g/cm³; electronic total energy = -4.5007 eV/atom
1.0
8.760 0.000 0.000
0.000 9.644 0.621
-4.380 -4.379 6.196
Tb Zr Tl Te
3 1 4 8
Cartesian
4.380 4.822 0.311
2.190 2.633 3.409
-2.190 2.633 3.409
0.000 4.822 0.311
4.380 0.000 0.000
2.190 -2.189 3.098
0.000 0.000 0.000
-2.190 -2.189 3.098
-2.270 2.572 6.519
0.000 4.842 3.309
0.000 0.444 3.410
2.270 2.572 6.519
2.110 2.693 0.298
4.380 4.822 3.407
4.380 0.424 3.508
6.650 2.693 0.298


Number 1: spin magnetization 0.00 μB/f.u.. Number 2: spin magnetization 0.00 μB/f.u.. Number 3: spin magnetization 6.00 μB/f.u.. Number 4: spin magnetization 0.00 μB/f.u.. Number 5: spin magnetization 0.00 μB/f.u.. Number 6: spin magnetization 0.00 μB/f.u.. Number 7: spin magnetization 0.00 μB/f.u.. Number 8: spin magnetization 0.00 μB/f.u.. Number 9: spin magnetization 0.00 μB/f.u.. Number 10: spin magnetization 0.00 μB/f.u.. Number 11: spin magnetization 0.00 μB/f.u.. Number 12: spin magnetization 0.72 μB/f.u..